This record from Alexandria via LeMat-Bulk describes a relaxed Li2CrO3 crystal. The functional is PBE+U.

Cell lengths 5.0863, 8.6364, 9.7515 Å; angles 90.00, 99.27, 90.00 degrees
Space group C2/c (No. 15)
Unique sites:
Li1 0.0000 0.0845 0.2500 x4
Li2 0.2463 0.0787 0.0011 x8
Li3 0.2500 0.2500 0.5000 x4
Cr1 0.0000 0.2455 0.7500 x4
Cr2 0.0000 0.4133 0.2500 x4
O1 0.1056 0.4155 0.6384 x8
O2 0.1350 0.0968 0.6355 x8
O3 0.1362 0.2658 0.1372 x8

Calculated values
For the raw total energy, the calculation gives -6.263 eV per atom. The density is 3.58 g cm⁻³.